Here is a relaxed structure of La2CuPt2 from Alexandria. Energies are from PBE-GGA.

Density of states at the Fermi level = 7.36 states/eV/cell
Raw total energy = -60.56 eV/cell
Total magnetic moment = 0.0 μB/cell

```
La2CuPt2
1.0
7.7316 0.0000 0.0000
0.0000 7.7316 0.0000
0.0000 0.0000 3.9704
La Cu Pt
4 2 4
Direct
0.1712 0.3288 0.0000
0.3288 0.8288 0.0000
0.6712 0.1712 0.0000
0.8288 0.6712 0.0000
0.0000 0.0000 0.5000
0.5000 0.5000 0.5000
0.1348 0.6348 0.5000
0.3652 0.1348 0.5000
0.6348 0.8652 0.5000
0.8652 0.3652 0.5000
```

=====

Here is a relaxed structure of SnPb7 from Alexandria. Energies are from PBE-GGA.

Density of states at the Fermi level = 2.56 states/eV/cell
Raw total energy = -29.85 eV/cell
Total magnetic moment = 0.0 μB/cell

```
SnPb7
1.0
0.0000 4.9837 4.9837
4.9837 0.0000 4.9837
4.9837 4.9837 0.0000
Sn Pb
1 7
Direct
0.0000 0.0000 0.0000
0.0000 0.0000 0.5000
0.0000 0.5000 0.0000
0.0000 0.5000 0.5000
0.5000 0.0000 0.0000
0.5000 0.0000 0.5000
0.5000 0.5000 0.0000
0.5000 0.5000 0.5000
```